[1]
Computed, not measured: a relaxed BaRh2Pb3 crystal at the PBE-GGA level of DFT.

Output
ΔH_f (0 K): -0.1981 eV per atom

Cell and atoms, written as extended XYZ:
```
12
Lattice="5.622 -4.490 0.000 5.622 4.490 0.000 0.000 0.000 6.167" Properties=species:S:1:pos:R:3 pbc="T T T"
Ba 5.622 3.247 4.625
Ba 5.622 -3.247 1.542
Rh 3.203 0.000 0.000
Rh 3.203 0.000 3.083
Rh 8.042 0.000 0.000
Rh 8.042 0.000 3.083
Pb 3.572 2.524 1.542
Pb 7.672 2.524 1.542
Pb 5.622 0.200 1.542
Pb 5.622 -0.200 4.625
Pb 3.572 -2.524 4.625
Pb 7.672 -2.524 4.625
```

---

[2]
Computed, not measured: a relaxed Sc3AgN crystal at the PBE-GGA level of DFT.

Output
electronic total energy: -6.84 eV per atom

Cell and atoms, written as extended XYZ:
```
5
Lattice="3.275 0.000 0.000 0.000 4.331 0.000 -0.088 0.000 6.308" Properties=species:S:1:pos:R:3 pbc="T T T"
Sc 0.000 0.000 0.000
Sc 1.551 2.166 4.772
Sc 1.637 2.166 1.535
Ag -0.044 0.000 3.154
N 0.000 2.166 0.000
```

---

[3]
Computed, not measured: a relaxed Np2Si3Ir2 crystal at the PBE-GGA level of DFT.

Output
electronic total energy: -9.08 eV per atom

Cell and atoms, written as extended XYZ:
```
14
Lattice="2.053 -8.792 0.000 2.053 8.792 0.000 0.000 0.000 6.807" Properties=species:S:1:pos:R:3 pbc="T T T"
Np 2.053 7.881 5.105
Np 2.053 6.083 1.702
Np 2.053 -6.083 5.105
Np 2.053 -7.881 1.702
Si 2.053 4.934 5.105
Si 2.053 1.066 3.876
Si 2.053 1.066 6.334
Si 2.053 -1.066 0.473
Si 2.053 -1.066 2.931
Si 2.053 -4.934 1.702
Ir 2.053 3.370 0.294
Ir 2.053 3.370 3.110
Ir 2.053 -3.370 3.698
Ir 2.053 -3.370 6.513
```

---

no.,density of states at the Fermi level (states/eV/cell)
1,5.65
2,4.91
3,27.35